BeC2: relaxed, GGA-PBE.

* E above lowest polymorph: 0.460 eV/atom
* total magnetization: 0.00 μB/atom

Structure (CIF):
```
data_BeC2
_chemical_formula_sum 'Be2 C4'
_space_group_name_H-M_alt 'P 42/m n m'
_space_group_IT_number 136
_space_group_name_Hall '-P 4n 2n'
_cell_length_a 3.361
_cell_length_b 3.361
_cell_length_c 5.159
_cell_angle_alpha 90.00
_cell_angle_beta 90.00
_cell_angle_gamma 90.00
loop_
_atom_site_label
_atom_site_type_symbol
_atom_site_fract_x
_atom_site_fract_y
_atom_site_fract_z
_atom_site_occupancy
Be1 Be 0.000 0.000 0.000 1
C1 C 0.132 0.132 0.500 1
```

---

TlW: relaxed, GGA-PBE.

* E above lowest polymorph: 0.229 eV/atom
* total magnetization: 0.00 μB/atom

Structure (CIF):
```
data_TlW
_chemical_formula_sum 'Tl6 W6'
_space_group_name_H-M_alt 'P 63/m m c'
_space_group_IT_number 194
_space_group_name_Hall '-P 6c 2c'
_cell_length_a 8.5050
_cell_length_b 8.5050
_cell_length_c 4.6165
_cell_angle_alpha 90.00
_cell_angle_beta 90.00
_cell_angle_gamma 120.00
loop_
_atom_site_label
_atom_site_type_symbol
_atom_site_fract_x
_atom_site_fract_y
_atom_site_fract_z
_atom_site_occupancy
Tl1 Tl 0.1997 0.3994 0.2500 1
W1 W 0.1182 0.5591 0.7500 1
```